Be2Ru: single point on PBEsol structure, SCAN.

Structure (CIF):
```
data_Be2Ru
_symmetry_space_group_name_H-M 'C m c m'
_symmetry_Int_Tables_number 63
_symmetry_space_group_name_Hall '-C 2c 2'
_cell_length_a 7.458
_cell_length_b 4.049
_cell_length_c 3.922
_cell_angle_alpha 90.00
_cell_angle_beta 90.00
_cell_angle_gamma 90.00
loop_
_atom_site_label
_atom_site_type_symbol
_atom_site_fract_x
_atom_site_fract_y
_atom_site_fract_z
Be1 Be 0.173 0.171 0.250
Ru1 Ru 0.000 0.301 0.750
```

Its energy relative to the lowest polymorph listed for this composition is 0.1074 eV per atom. The value obtained for the formation energy is -333 meV per atom.